No. 1
The following is a meta-GGA SCAN calculation of a crystal of Zr2CrPt relaxed with PBEsol, from the Alexandria database.

Output
Its total magnetization is 2.8 μB/f.u. The value obtained for the energy relative to the lowest polymorph listed for this composition is 0.000 eV/atom.

a = 3.253 Å, b = 4.344 Å, c = 5.345 Å
α = 90.00°, β = 107.42°, γ = 90.00°
Space group Pm (No. 6)
Unique sites:
Zr 0.000 0.000 0.000
Zr 0.293 0.500 0.591
Cr 0.563 0.500 0.125
Pt 0.724 0.000 0.452


No. 2
The following is a meta-GGA SCAN calculation of a crystal of SiAgO2 relaxed with PBEsol, from the Alexandria database.

Output
Its total magnetization is 0.0 μB/f.u. For the formation energy (no corrections), the calculation gives -1.879 eV per atom.

a = 2.6971 Å, b = 2.6971 Å, c = 26.5459 Å
α = 90.00°, β = 90.00°, γ = 120.00°
Space group R-3m (No. 166, hexagonal axes)
Unique sites:
Si 0.0000 0.0000 0.0000
Ag 0.0000 0.0000 0.5000
O 0.0000 0.0000 0.3675


No. 3
The following is a meta-GGA SCAN calculation of a crystal of SrPtBr2 relaxed with PBEsol, from the Alexandria database.

Output
Its total magnetization is 0.0 μB/f.u. For the formation energy (no corrections), the calculation gives -0.500 eV per atom. The value obtained for the energy relative to the lowest polymorph listed for this composition is 0.376 eV/atom.

a = 3.689 Å, b = 3.689 Å, c = 6.865 Å
α = 90.00°, β = 90.00°, γ = 90.00°
Space group P4/mmm (No. 123)
Unique sites:
Sr 0.000 0.000 0.000
Pt 0.000 0.000 0.500
Br 0.500 0.500 0.252


No. 4
The following is a meta-GGA SCAN calculation of a crystal of Li2GeBr relaxed with PBEsol, from the Alexandria database.

Output
Its total magnetization is 0.0 μB/f.u. For the formation energy (no corrections), the calculation gives -0.443 eV per atom.

a = 7.033 Å, b = 7.033 Å, c = 6.293 Å
α = 90.00°, β = 90.00°, γ = 90.00°
Space group I-42d (No. 122)
Unique sites:
Li 0.225 0.250 0.125
Ge 0.000 0.000 0.500
Br 0.000 0.000 0.000


No. 5
The following is a meta-GGA SCAN calculation of a crystal of CoIrPt2 relaxed with PBEsol, from the Alexandria database.

Output
Its total magnetization is 2.4 μB/f.u. The value obtained for the energy relative to the lowest polymorph listed for this composition is 0.154 eV/atom.

a = 2.674 Å, b = 4.641 Å, c = 9.099 Å
α = 90.00°, β = 90.00°, γ = 90.00°
Space group Cmm2 (No. 35)
Unique sites:
Co 0.000 0.000 0.000
Ir 0.000 0.500 0.228
Pt 0.000 0.000 0.491
Pt 0.000 0.500 0.761


No. 6
The following is a meta-GGA SCAN calculation of a crystal of KCu2Re relaxed with PBEsol, from the Alexandria database.

Output
Its total magnetization is 0.0 μB/f.u. The value obtained for the energy relative to the lowest polymorph listed for this composition is 0.000 eV/atom.

a = 2.7273 Å, b = 2.7273 Å, c = 29.5442 Å
α = 90.00°, β = 90.00°, γ = 120.00°
Space group R-3m (No. 166, hexagonal axes)
Unique sites:
K 0.0000 0.0000 0.0000
Cu 0.0000 0.0000 0.2385
Re 0.0000 0.0000 0.5000


No. 7
The following is a meta-GGA SCAN calculation of a crystal of InGa2Pb relaxed with PBEsol, from the Alexandria database.

Output
Its total magnetization is 0.0 μB/f.u. Its calculated total energy is -564.8 eV for the cell shown.

a = 7.195 Å, b = 7.195 Å, c = 7.195 Å
α = 90.00°, β = 90.00°, γ = 90.00°
Space group Fm-3m (No. 225)
Unique sites:
In 0.000 0.000 0.000
Ga 0.250 0.250 0.250
Pb 0.000 0.000 0.500


No. 8
The following is a meta-GGA SCAN calculation of a crystal of BaCN2 relaxed with PBEsol, from the Alexandria database.

Output
Its total magnetization is 0.0 μB/f.u. For the formation energy (no corrections), the calculation gives -0.877 eV per atom.

a = 14.8369 Å, b = 14.8369 Å, c = 7.4848 Å
α = 90.00°, β = 90.00°, γ = 120.00°
Space group R-3c (No. 167, hexagonal axes)
Unique sites:
Ba 0.0000 0.2090 0.2500
C 0.0000 0.2173 0.7500
N 0.0482 0.2405 0.8934


No. 9
The following is a meta-GGA SCAN calculation of a crystal of Bi2Pd relaxed with PBEsol, from the Alexandria database.

Output
Its total magnetization is 0.0 μB/f.u. Its calculated total energy is -380.6 eV for the cell shown.

a = 3.358 Å, b = 3.358 Å, c = 12.797 Å
α = 90.00°, β = 90.00°, γ = 90.00°
Space group I4/mmm (No. 139)
Unique sites:
Bi 0.000 0.000 0.137
Pd 0.000 0.000 0.500


No. 10
The following is a meta-GGA SCAN calculation of a crystal of NaTmPd6O8 relaxed with PBEsol, from the Alexandria database.

Output
Its total magnetization is 0.0 μB/f.u. For the formation energy (no corrections), the calculation gives -1.323 eV per atom.

a = 5.710 Å, b = 5.710 Å, c = 5.710 Å
α = 90.00°, β = 90.00°, γ = 90.00°
Space group Pm-3 (No. 200)
Unique sites:
Na 0.000 0.000 0.000
Tm 0.500 0.500 0.500
Pd 0.000 0.251 0.500
O 0.261 0.261 0.261


No. 11
The following is a meta-GGA SCAN calculation of a crystal of NbCoO2 relaxed with PBEsol, from the Alexandria database.

Output
Its total magnetization is 0.2 μB/f.u. For the formation energy (no corrections), the calculation gives -1.231 eV per atom.

a = 4.658 Å, b = 4.658 Å, c = 8.786 Å
α = 90.00°, β = 90.00°, γ = 90.00°
Space group I-42d (No. 122)
Unique sites:
Nb 0.000 0.000 0.000
Co 0.000 0.000 0.500
O 0.230 0.250 0.625


No. 12
The following is a meta-GGA SCAN calculation of a crystal of KFe2RuO relaxed with PBEsol, from the Alexandria database.

Output
Its total magnetization is 9.4 μB/f.u. For the formation energy (no corrections), the calculation gives 2.134 eV per atom.

a = 4.578 Å, b = 4.578 Å, c = 4.063 Å
α = 90.00°, β = 90.00°, γ = 90.00°
Space group P4/mmm (No. 123)
Unique sites:
K 0.000 0.000 0.000
Fe 0.000 0.500 0.000
Ru 0.500 0.500 0.500
O 0.000 0.000 0.500


No. 13
The following is a meta-GGA SCAN calculation of a crystal of Ag4IrRu relaxed with PBEsol, from the Alexandria database.

Output
Its total magnetization is 3.0 μB/f.u. Its calculated total energy is -905.7 eV for the cell shown.

a = 7.298 Å, b = 7.298 Å, c = 7.298 Å
α = 90.00°, β = 90.00°, γ = 90.00°
Space group F-43m (No. 216)
Unique sites:
Ag 0.125 0.125 0.125
Ir 0.250 0.250 0.750
Ru 0.000 0.000 0.500


No. 14
The following is a meta-GGA SCAN calculation of a crystal of ZnCuAu2 relaxed with PBEsol, from the Alexandria database.

Output
Its total magnetization is 0.0 μB/f.u. Its calculated total energy is -334.8 eV for the cell shown.

a = 8.705 Å, b = 2.882 Å, c = 4.882 Å
α = 90.00°, β = 101.41°, γ = 90.00°
Space group C2/m (No. 12)
Unique sites:
Zn 0.000 0.000 0.000
Cu 0.000 0.500 0.500
Au 0.249 0.000 0.748


No. 15
The following is a meta-GGA SCAN calculation of a crystal of BaTl2InPb relaxed with PBEsol, from the Alexandria database.

Output
Its total magnetization is 0.0 μB/f.u. Its calculated total energy is -292.5 eV for the cell shown.

a = 5.767 Å, b = 5.767 Å, c = 6.532 Å
α = 90.00°, β = 90.00°, γ = 90.00°
Space group P4/mmm (No. 123)
Unique sites:
Ba 0.000 0.000 0.000
Tl 0.000 0.500 0.500
In 0.500 0.500 0.000
Pb 0.000 0.000 0.500


No. 16
The following is a meta-GGA SCAN calculation of a crystal of CoCuPt2 relaxed with PBEsol, from the Alexandria database.

Output
Its total magnetization is 2.4 μB/f.u. Its calculated total energy is -346.8 eV for the cell shown.

a = 8.590 Å, b = 2.679 Å, c = 4.672 Å
α = 90.00°, β = 100.18°, γ = 90.00°
Space group C2/m (No. 12)
Unique sites:
Co 0.000 0.000 0.000
Cu 0.000 0.500 0.500
Pt 0.248 0.500 0.248


No. 17
The following is a meta-GGA SCAN calculation of a crystal of InNi2Os relaxed with PBEsol, from the Alexandria database.

Output
Its total magnetization is 2.2 μB/f.u. Its calculated total energy is -272.7 eV for the cell shown.

a = 3.770 Å, b = 3.770 Å, c = 7.639 Å
α = 90.00°, β = 90.00°, γ = 90.00°
Space group I-4m2 (No. 119)
Unique sites:
In 0.000 0.000 0.000
Ni 0.000 0.000 0.500
Ni 0.000 0.500 0.250
Os 0.000 0.500 0.750


No. 18
The following is a meta-GGA SCAN calculation of a crystal of KAg2Au relaxed with PBEsol, from the Alexandria database.

Output
Its total magnetization is 0.0 μB/f.u. The value obtained for the energy relative to the lowest polymorph listed for this composition is 0.084 eV/atom.

a = 6.900 Å, b = 6.900 Å, c = 6.900 Å
α = 90.00°, β = 90.00°, γ = 90.00°
Space group Fm-3m (No. 225)
Unique sites:
K 0.000 0.000 0.000
Ag 0.250 0.250 0.250
Au 0.000 0.000 0.500


No. 19
The following is a meta-GGA SCAN calculation of a crystal of LaPtC3 relaxed with PBEsol, from the Alexandria database.

Output
Its total magnetization is 0.0 μB/f.u. Its calculated total energy is -136.7 eV for the cell shown.

a = 4.053 Å, b = 4.053 Å, c = 4.053 Å
α = 90.00°, β = 90.00°, γ = 90.00°
Space group Pm-3m (No. 221)
Unique sites:
La 0.000 0.000 0.000
Pt 0.500 0.500 0.500
C 0.000 0.500 0.500


No. 20
The following is a meta-GGA SCAN calculation of a crystal of NiTePt3 relaxed with PBEsol, from the Alexandria database.

Output
Its total magnetization is 1.1 μB/f.u. For the formation energy (no corrections), the calculation gives 0.881 eV per atom.

a = 4.533 Å, b = 4.533 Å, c = 4.533 Å
α = 90.00°, β = 90.00°, γ = 90.00°
Space group Pm-3m (No. 221)
Unique sites:
Ni 0.000 0.000 0.000
Te 0.500 0.500 0.500
Pt 0.000 0.000 0.500